22
Lattice="5.269 0.000 0.000 0.000 6.506 0.000 -0.521 0.000 10.048" Properties=species:S:1:pos:R:3 comment="LiPWCO7 (GGA+U, optimized geometry)" energy_ev_per_fu=-79.70 density_g_cm3=3.33 pbc="T T T"
Li 1.176 0.000 1.014
Li 3.571 3.253 9.034
P 0.857 0.855 5.747
P 3.891 4.108 4.301
W 1.199 4.108 6.542
W 3.549 0.855 3.505
C 0.770 4.404 9.065
C 3.978 1.151 0.983
O -0.183 4.135 8.147
O 0.085 4.117 4.759
O 1.028 4.799 0.163
O 1.146 6.130 6.636
O 1.159 2.083 6.644
O 1.791 0.851 4.509
O 1.982 4.224 8.560
O 2.766 0.971 1.487
O 2.957 4.104 5.539
O 3.588 5.336 3.404
O 3.602 2.877 3.411
O 3.720 1.546 9.885
O 4.663 0.864 5.288
O 4.931 0.882 1.901